This record from Alexandria via LeMat-Bulk describes an optimized crystal structure of NbCo3H. The functional is GGA-PBE.

As for the total energy: -6.804 eV per atom. The calculation puts the calculated density at 8.37 g/cm³. Its relative energy among the computed polymorphs is 322.4 meV/atom. As for the total moment: 0.355 μB/atom.

The space group is Pnma (No. 62) and the conventional cell measures 4.719, 6.503 and 6.997 Å, with angles of 90.00, 90.00 and 90.00 degrees. The distinct sites, in fractional coordinates, are Nb at (0.000, 0.000, 0.000), Co at (0.031, 0.081, 0.347), Co at (0.204, 0.250, 0.712) and H at (0.122, 0.750, 0.429).

***

This record from Alexandria via LeMat-Bulk describes an optimized crystal structure of NbCoH2. The functional is GGA-PBE.

As for the total energy: -6.108 eV per atom. The calculation puts the calculated density at 7.85 g/cm³. Its relative energy among the computed polymorphs is 0.0 meV/atom. As for the total moment: 0.015 μB/atom.

The space group is P4/mmm (No. 123) and the conventional cell measures 3.422, 3.422 and 2.779 Å, with angles of 90.00, 90.00 and 90.00 degrees. The distinct sites, in fractional coordinates, are Nb at (0.000, 0.000, 0.000), Co at (0.500, 0.500, 0.500) and H at (0.000, 0.500, 0.500).

***

This record from Alexandria via LeMat-Bulk describes an optimized crystal structure of Nb2CoH. The functional is GGA-PBE.

As for the total energy: -7.369 eV per atom. The calculation puts the calculated density at 7.82 g/cm³. Its relative energy among the computed polymorphs is 0.0 meV/atom. As for the total moment: 0.000 μB/atom.

The space group is Fm-3m (No. 225) and the conventional cell measures 5.931, 5.931 and 5.931 Å, with angles of 90.00, 90.00 and 90.00 degrees. The distinct sites, in fractional coordinates, are Nb at (0.250, 0.250, 0.250), Co at (0.000, 0.000, 0.000) and H at (0.000, 0.000, 0.500).

***

This record from Alexandria via LeMat-Bulk describes an optimized crystal structure of NbCoH2. The functional is GGA-PBE.

As for the total energy: -5.740 eV per atom. The calculation puts the calculated density at 7.53 g/cm³. Its relative energy among the computed polymorphs is 368.4 meV/atom. As for the total moment: 0.261 μB/atom.

The space group is Fm-3m (No. 225) and the conventional cell measures 5.139, 5.139 and 5.139 Å, with angles of 90.00, 90.00 and 90.00 degrees. The distinct sites, in fractional coordinates, are Nb at (0.000, 0.000, 0.000), Co at (0.000, 0.000, 0.500) and H at (0.250, 0.250, 0.250).

***

This record from Alexandria via LeMat-Bulk describes an optimized crystal structure of Nb2CoH4. The functional is GGA-PBE.

As for the total energy: -5.886 eV per atom. The calculation puts the calculated density at 7.01 g/cm³. Its relative energy among the computed polymorphs is 19.0 meV/atom. As for the total moment: 0.000 μB/atom.

The space group is P2_1/m (No. 11) and the conventional cell measures 5.055, 3.891 and 6.321 Å, with angles of 90.00, 108.56 and 90.00 degrees. The distinct sites, in fractional coordinates, are Nb at (0.203, 0.250, 0.414), Nb at (0.229, 0.250, 0.930), Co at (0.335, 0.750, 0.683), H at (0.042, 0.750, 0.902), H at (0.078, 0.750, 0.392) and H at (0.428, 0.526, 0.218).

***

This record from Alexandria via LeMat-Bulk describes an optimized crystal structure of NbCo3H. The functional is GGA-PBE.

As for the total energy: -6.880 eV per atom. The calculation puts the calculated density at 8.33 g/cm³. Its relative energy among the computed polymorphs is 246.6 meV/atom. As for the total moment: 0.713 μB/atom.

The space group is C2/c (No. 15) and the conventional cell measures 12.200, 7.197 and 5.018 Å, with angles of 90.00, 101.52 and 90.00 degrees. The distinct sites, in fractional coordinates, are Nb at (0.000, 0.095, 0.250), Nb at (0.000, 0.359, 0.750), Co at (0.174, 0.169, 0.077), Co at (0.179, 0.166, 0.595), Co at (0.182, 0.496, 0.592) and H at (0.075, 0.363, 0.145).

***

This record from Alexandria via LeMat-Bulk describes an optimized crystal structure of NbCoH3. The functional is GGA-PBE.

As for the total energy: -5.533 eV per atom. The calculation puts the calculated density at 7.31 g/cm³. As for the total moment: 0.000 μB/atom.

The space group is Pm-3m (No. 221) and the conventional cell measures 3.277, 3.277 and 3.277 Å, with angles of 90.00, 90.00 and 90.00 degrees. The distinct sites, in fractional coordinates, are Nb at (0.000, 0.000, 0.000), Co at (0.500, 0.500, 0.500) and H at (0.000, 0.500, 0.500).

***

This record from Alexandria via LeMat-Bulk describes an optimized crystal structure of NbCoH3. The functional is GGA-PBE.

As for the total energy: -5.451 eV per atom. The calculation puts the calculated density at 6.82 g/cm³. As for the total moment: 0.035 μB/atom.

The space group is I4mm (No. 107) and the conventional cell measures 2.941, 2.941 and 8.720 Å, with angles of 90.00, 90.00 and 90.00 degrees. The distinct sites, in fractional coordinates, are Nb at (0.000, 0.000, 0.000), Co at (0.000, 0.000, 0.702), H at (0.000, 0.000, 0.513) and H at (0.000, 0.500, 0.321).

***

This record from Alexandria via LeMat-Bulk describes an optimized crystal structure of NbCo5H6. The functional is GGA-PBE.

As for the total energy: -5.521 eV per atom. The calculation puts the calculated density at 7.97 g/cm³. As for the total moment: 0.224 μB/atom.

The space group is C2/m (No. 12) and the conventional cell measures 4.643, 8.067 and 4.653 Å, with angles of 90.00, 109.78 and 90.00 degrees. The distinct sites, in fractional coordinates, are Nb at (0.000, 0.000, 0.000), Co at (0.000, 0.161, 0.500), Co at (0.000, 0.335, 0.000), Co at (0.000, 0.500, 0.500), H at (0.218, 0.500, 0.262) and H at (0.232, 0.310, 0.743).

***

This record from Alexandria via LeMat-Bulk describes an optimized crystal structure of NbCo3H. The functional is GGA-PBE.

As for the total energy: -6.736 eV per atom. The calculation puts the calculated density at 8.16 g/cm³. Its relative energy among the computed polymorphs is 390.4 meV/atom. As for the total moment: 0.775 μB/atom.

The space group is P6_3/mmc (No. 194) and the conventional cell measures 2.7449, 2.7449 and 16.8887 Å, with angles of 90.00, 90.00 and 120.00 degrees. The distinct sites, in fractional coordinates, are Nb at (0.0000, 0.0000, 0.0000), Co at (0.0000, 0.0000, 0.2500), Co at (0.3333, 0.6667, 0.1332) and H at (0.3333, 0.6667, 0.2500).

***

This record from Alexandria via LeMat-Bulk describes an optimized crystal structure of Nb3CoH4. The functional is GGA-PBE.

As for the total energy: -6.395 eV per atom. The calculation puts the calculated density at 7.25 g/cm³. As for the total moment: 0.000 μB/atom.

The space group is Pmn2_1 (No. 31) and the conventional cell measures 5.843, 5.521 and 4.851 Å, with angles of 90.00, 90.00 and 90.00 degrees. The distinct sites, in fractional coordinates, are Nb at (0.000, 0.137, 0.000), Nb at (0.239, 0.351, 0.514), Co at (0.000, 0.828, 0.516), H at (0.000, 0.114, 0.600), H at (0.000, 0.824, 0.182) and H at (0.232, 0.690, 0.619).

***

This record from Alexandria via LeMat-Bulk describes an optimized crystal structure of NbCo3H. The functional is GGA-PBE.

As for the total energy: -7.120 eV per atom. The calculation puts the calculated density at 8.99 g/cm³. Its relative energy among the computed polymorphs is 6.7 meV/atom. As for the total moment: 0.170 μB/atom.

The space group is Pm-3m (No. 221) and the conventional cell measures 3.684, 3.684 and 3.684 Å, with angles of 90.00, 90.00 and 90.00 degrees. The distinct sites, in fractional coordinates, are Nb at (0.000, 0.000, 0.000), Co at (0.000, 0.500, 0.500) and H at (0.500, 0.500, 0.500).